Record 1
A plane-wave DFT calculation with PBE was carried out for a relaxed Ta2V3H8 crystal.

Computed properties:
Space-group type: C2/m
Density: 8.7 g/cm³
Magnetic moment: 0.00 Bohr magnetons per cell

abc: 4.498 5.228 5.274
angles: 119.71 108.92 90.00
Atoms (fractional coordinates):
Ta1 0.352 0.322 0.645
Ta2 0.648 0.678 0.355
V1 0.500 0.000 0.000
V2 0.000 0.259 0.000
V3 0.000 0.741 0.000
H1 0.060 0.649 0.298
H2 0.940 0.351 0.702
H3 0.931 0.123 0.245
H4 0.069 0.877 0.755
H5 0.594 0.664 0.714
H6 0.594 0.051 0.714
H7 0.406 0.949 0.286
H8 0.406 0.336 0.286

=====

Record 2
A plane-wave DFT calculation with PBE was carried out for a relaxed As2P crystal.

Computed properties:
Space-group type: P1
Density: 4.7 g/cm³
Magnetic moment: 0.00 Bohr magnetons per cell
DFT formation energy: 0.5 eV/f.u.

abc: 4.576 5.036 6.224
angles: 71.77 79.94 70.42
Atoms (fractional coordinates):
As1 0.307 0.626 0.788
As2 0.947 0.309 0.118
As3 0.656 0.972 0.464
As4 0.436 0.868 0.164
P1 0.737 0.201 0.844
P2 0.106 0.566 0.489

=====

Record 3
A plane-wave DFT calculation with PBE was carried out for a relaxed SrNbCd2In crystal.

Computed properties:
Space-group type: P4/mmm
Density: 4.9 g/cm³
Magnetic moment: 4.30 Bohr magnetons per cell
DFT formation energy: 5.1 eV/f.u.

abc: 5.371 6.134 5.371
angles: 90.00 90.00 90.00
Each line ends with the local moment (μB).
Atoms (fractional coordinates):
Sr1 0.000 0.500 0.000  0.06
Nb1 0.500 0.500 0.500  2.92
Cd1 0.000 0.000 0.500  -0.01
Cd2 0.500 0.000 0.000  0.01
In1 0.000 0.000 0.000  -0.01

=====

Record 4
A plane-wave DFT calculation with PBE was carried out for a relaxed V5NiRh4 crystal.

Computed properties:
Space-group type: Pmmm
Density: 9.0 g/cm³
Magnetic moment: 0.00 Bohr magnetons per cell
DFT formation energy: -3.3 eV/f.u.

abc: 3.674 2.715 13.463
angles: 90.00 90.00 90.00
Atoms (fractional coordinates):
V1 0.500 0.500 0.094
V2 0.500 0.500 0.297
V3 0.500 0.500 0.500
V4 0.500 0.500 0.703
V5 0.500 0.500 0.906
Ni1 0.000 0.000 0.000
Rh1 0.000 0.000 0.193
Rh2 0.000 0.000 0.398
Rh3 0.000 0.000 0.602
Rh4 0.000 0.000 0.807

=====

Record 5
A plane-wave DFT calculation with PBE was carried out for a relaxed Zr2GaSn crystal.

Computed properties:
Space-group type: P2_1/m
Density: 7.2 g/cm³
Magnetic moment: 0.00 Bohr magnetons per cell
DFT formation energy: -2.3 eV/f.u.

abc: 4.023 5.674 8.034
angles: 111.34 90.00 90.00
Atoms (fractional coordinates):
Zr1 0.750 0.230 0.422
Zr2 0.250 0.770 0.578
Zr3 0.250 0.792 0.063
Zr4 0.750 0.208 0.937
Ga1 0.250 0.318 0.203
Ga2 0.750 0.682 0.797
Sn1 0.750 0.678 0.292
Sn2 0.250 0.322 0.708

=====

Record 6
A plane-wave DFT calculation with PBE was carried out for a relaxed OsPdPb2 crystal.

Computed properties:
Space-group type: I-42d
Density: 10.0 g/cm³
Magnetic moment: 0.00 Bohr magnetons per cell
DFT formation energy: 3.9 eV/f.u.

abc: 6.222 6.222 7.534
angles: 65.61 65.61 90.00
Atoms (fractional coordinates):
Pb1 0.637 0.125 0.250
Pb2 0.113 0.625 0.250
Pb3 0.375 0.363 0.750
Pb4 0.875 0.887 0.750
Os1 0.000 0.000 0.000
Os2 0.750 0.250 0.500
Pd1 0.500 0.500 0.000
Pd2 0.250 0.750 0.500

=====

| no. | energy (eV per atom) |
| --- | --- |
| 1 | -6.0944 |
| 2 | -4.7451 |
| 3 | -2.2491 |
| 4 | -8.4078 |
| 5 | -6.6032 |
| 6 | -4.9961 |